! ZrSb2Os, relaxed, DFT PBE; values from VASP
! E_form (uncorrected): 129 meV per atom
! E above lowest polymorph: 0.327 eV per atom
! space group: Cmmm
&SYSTEM
  ibrav = 0, nat = 4, ntyp = 3
/
ATOMIC_SPECIES
Zr 91.22 Zr.upf
Sb 121.76 Sb.upf
Os 190.23 Os.upf
CELL_PARAMETERS angstrom
-1.492 1.194 -2.738
2.827 -1.013 -1.459
-2.975 -6.536 -1.229
ATOMIC_POSITIONS angstrom
Zr -0.076 -1.543 -2.406
Sb -1.558 -3.424 -0.644
Sb -2.904 -6.380 -1.200
Os -1.564 -4.811 -3.020